Record 1
The following is a DFT calculation (PBE) of a geometry-optimized CePuTlBr6 structure.

a = 7.6481 Å, b = 7.6481 Å, c = 14.5014 Å
α = 90.00°, β = 90.00°, γ = 120.00°
Space group P-31c (No. 163)
One atom of each set of equivalent atoms:
1 Ce 0.3333 0.6667 0.2500 (multiplicity 2)
2 Pu 0.3333 0.6667 0.7500 (multiplicity 2)
3 Tl 0.0000 0.0000 0.0000 (multiplicity 2)
4 Br 0.0007 0.3655 0.1336 (multiplicity 12)

* DOS(E_F): 23.40 states/eV/f.u.
* formation energy (no corrections): -144.69 kJ per mole of atoms

***

Record 2
The following is a DFT calculation (PBE) of a geometry-optimized GaMoOsRu structure.

a = 6.1650 Å, b = 6.1650 Å, c = 6.1650 Å
α = 90.00°, β = 90.00°, γ = 90.00°
Space group F-43m (No. 216)
One atom of each set of equivalent atoms:
1 Ga 0.0000 0.0000 0.0000 (multiplicity 4)
2 Mo 0.0000 0.0000 0.5000 (multiplicity 4)
3 Os 0.2500 0.2500 0.7500 (multiplicity 4)
4 Ru 0.2500 0.2500 0.2500 (multiplicity 4)

* DOS(E_F): 3.12 states/eV/f.u.
* energy of formation from the pure elements: -18 meV per atom

***

Number 1: total magnetic moment 14.00 μB/cell, density 4.83 g/cm3, DFT total energy -92.33 eV per cell. Number 2: total magnetic moment 0.00 μB/cell, density 12.95 g/cm3, DFT total energy -137.74 eV per cell.